Below is Cr3Re at its PBEsol-relaxed geometry, with properties calculated at the meta-GGA SCAN level.

Results
As for the space-group type: Immm, No. 71. The electronic total energy is -31.591 eV per atom. The calculation puts the magnetization at 0.00 μB/cell. For the energy relative to the elements, the calculation gives -0.028 eV per atom. Its volume is 48.4 Å³ per cell.

Cell: 2.898 4.105 4.781 Å, 115.42 107.64 90.00°
Fractional coordinates of all 4 atoms:
Re 0.000 0.500 0.000
Cr 0.755 0.755 0.510
Cr 0.500 0.000 0.000
Cr 0.245 0.245 0.490


Below is Sr2LiSi at its PBEsol-relaxed geometry, with properties calculated at the meta-GGA SCAN level.

Results
As for the space-group type: Amm2, No. 38. The electronic total energy is -14.472 eV per atom. The calculation puts the magnetization at 0.98 μB/cell. The value obtained for the formation energy (no corrections) is -0.23 eV/atom. Its volume is 121.5 Å³ per cell.

Cell: 4.649 4.760 5.985 Å, 113.43 90.00 90.00°
Each line ends with the local moment (μB).
Fractional coordinates of all 4 atoms:
Li 0.000 0.794 0.588  0.03
Si 0.500 0.697 0.395  0.04
Sr 0.000 0.114 0.227  0.06
Sr 0.500 0.398 0.795  0.08


Below is ScFe4 at its PBEsol-relaxed geometry, with properties calculated at the meta-GGA SCAN level.

Results
As for the space-group type: I4/m, No. 87. The electronic total energy is -17.260 eV per atom. The calculation puts the magnetization at 9.42 μB/cell. For the energy relative to the elements, the calculation gives 0.091 eV per atom. Its volume is 62.7 Å³ per cell.

Cell: 4.071 4.422 4.422 Å, 77.77 62.60 62.60°
Each line ends with the local moment (μB).
Fractional coordinates of all 5 atoms:
Fe 0.431 0.766 0.373  2.55
Fe 0.569 0.234 0.627  2.55
Fe 0.804 0.627 0.766  2.55
Fe 0.196 0.373 0.234  2.55
Sc 0.000 0.000 0.000  -0.46


Below is CsAgOF2 at its PBEsol-relaxed geometry, with properties calculated at the meta-GGA SCAN level.

Results
As for the space-group type: P4/mmm, No. 123. The electronic total energy is -17.938 eV per atom. The calculation puts the magnetization at 0.89 μB/cell. The value obtained for the formation energy (no corrections) is -1.44 eV/atom. Its volume is 82.2 Å³ per cell.

Cell: 3.937 4.570 4.570 Å, 90.00 90.00 90.00°
Each line ends with the local moment (μB).
Fractional coordinates of all 5 atoms:
Cs 0.500 0.500 0.500  0.01
O 0.500 0.000 0.000  0.51
Ag 0.000 0.000 0.000  0.24
F 0.000 0.000 0.500  0.03
F 0.000 0.500 0.000  0.03